The following is a PBE calculation of a relaxed structure of Tm3In3CuIr2, from OQMD.

Cell and atoms, written as POSCAR:
```
Tm3In3CuIr2
1.0
7.558 0.000 0.000
-3.779 6.545 0.000
0.000 0.000 3.763
Tm In Cu Ir
3 3 1 2
direct
0.000 0.412 0.000
0.412 0.000 0.000
0.588 0.588 0.000
0.000 0.745 0.500
0.255 0.255 0.500
0.745 0.000 0.500
0.000 0.000 0.000
0.333 0.667 0.500
0.667 0.333 0.500
```

Results
The crystal system is hexagonal. The energy is -48.78 eV per cell.